{"formula": "MgHgF2", "functional": "PBE-GGA", "state": "optimized geometry", "de_polymorph_mev_per_atom": 23, "raw_formation_energy_mev_per_atom": -2515.7, "dos_at_fermi_per_ev_cell": 0.0, "spacegroup": "I4_1/amd, No. 141", "cell": [[-3.0957, 3.0957, 4.3946], [3.0957, -3.0957, 4.3946], [3.0957, 3.0957, -4.3946]], "species": ["Mg", "Mg", "Hg", "Hg", "F", "F", "F", "F"], "frac_coords": [[0.3750, 0.6250, 0.7500], [0.6250, 0.3750, 0.2500], [0.1250, 0.8750, 0.2500], [0.8750, 0.1250, 0.7500], [0.0000, 0.5000, 0.5000], [0.5000, 0.0000, 0.0000], [0.5000, 0.5000, 0.0000], [0.5000, 0.5000, 0.5000]]}

=====

{"formula": "TiH10N3F5", "functional": "PBE-GGA", "state": "optimized geometry", "dft_energy_ry_per_atom": -0.370, "spacegroup": "Cc, No. 9", "cell": [[5.7060, -3.5493, 0.0000], [5.7060, 3.5493, 0.0000], [-4.2960, 0.0000, 11.3234]], "species": ["Ti", "Ti", "H", "H", "H", "H", "H", "H", "H", "H", "H", "H", "H", "H", "H", "H", "H", "H", "H", "H", "H", "H", "N", "N", "N", "N", "N", "N", "F", "F", "F", "F", "F", "F", "F", "F", "F", "F"], "frac_coords": [[0.1025, 0.8975, 0.5000], [0.8975, 0.1025, 0.0000], [0.0938, 0.7541, 0.5969], [0.1184, 0.3488, 0.8565], [0.2215, 0.2979, 0.9948], [0.2345, 0.5184, 0.9634], [0.2463, 0.8468, 0.1700], [0.2476, 0.4030, 0.4086], [0.2979, 0.2215, 0.4948], [0.3488, 0.1184, 0.3565], [0.4030, 0.2476, 0.9086], [0.5184, 0.2345, 0.4634], [0.6001, 0.8174, 0.1913], [0.6234, 0.7545, 0.5919], [0.7041, 0.8807, 0.7337], [0.7541, 0.0938, 0.0969], [0.7545, 0.6234, 0.0919], [0.7646, 0.8878, 0.1388], [0.8174, 0.6001, 0.6913], [0.8468, 0.2463, 0.6700], [0.8807, 0.7041, 0.2337], [0.8878, 0.7646, 0.6388], [0.0766, 0.8968, 0.8749], [0.2456, 0.3538, 0.9304], [0.3538, 0.2456, 0.4304], [0.7515, 0.7576, 0.1631], [0.7576, 0.7515, 0.6631], [0.8968, 0.0766, 0.3749], [0.0304, 0.6586, 0.3797], [0.1114, 0.8091, 0.0709], [0.1270, 0.2102, 0.0860], [0.2102, 0.1270, 0.5860], [0.3637, 0.8702, 0.2466], [0.4028, 0.7144, 0.4846], [0.6586, 0.0304, 0.8797], [0.7144, 0.4028, 0.9846], [0.8091, 0.1114, 0.5709], [0.8702, 0.3637, 0.7466]]}

=====

{"formula": "LiPrZnN2", "functional": "PBE-GGA", "state": "optimized geometry", "raw_formation_energy_mev_per_atom": -570.4, "spacegroup": "P2/c, No. 13", "cell": [[5.7233, 0.0000, 0.0000], [0.0000, 3.8986, 0.0000], [-0.6871, 0.0000, 6.4150]], "species": ["Li", "Li", "Pr", "Pr", "Zn", "Zn", "N", "N", "N", "N"], "frac_coords": [[0.0000, 0.0262, 0.2500], [0.0000, 0.9738, 0.7500], [0.5000, 0.2475, 0.7500], [0.5000, 0.7525, 0.2500], [0.0000, 0.5000, 0.0000], [0.0000, 0.5000, 0.5000], [0.2596, 0.2167, 0.0627], [0.2596, 0.7833, 0.5627], [0.7404, 0.2167, 0.4373], [0.7404, 0.7833, 0.9373]]}

=====

{"formula": "Si2AgOs", "functional": "PBE-GGA", "state": "optimized geometry", "de_polymorph_mev_per_atom": 0, "raw_formation_energy_mev_per_atom": 31.8, "dos_at_fermi_per_ev_cell": 1.5, "spacegroup": "Pmmm, No. 47", "cell": [[2.8419, 0.0000, 0.0000], [0.0000, 2.9765, 0.0000], [0.0000, 0.0000, 7.5353]], "species": ["Si", "Si", "Ag", "Os"], "frac_coords": [[0.0000, 0.0000, 0.1987], [0.0000, 0.0000, 0.8013], [0.5000, 0.0000, 0.5000], [0.5000, 0.5000, 0.0000]]}